Computed, not measured: a relaxed Pm12Ga5N2 crystal at the PBE level of DFT.

Values from the calculation:
The raw formation energy is -0.492 eV/atom. The density of states at the Fermi level comes out at 0.989 states/eV/atom. The symmetry is Immm (71).

Cell lengths 9.675, 9.675, 9.675 Å; angles 135.86, 125.97, 72.24 degrees
Positions (direct):
Pm  0.156  0.409  0.253
Pm  0.156  0.903  0.747
Pm  0.181  0.000  0.181
Pm  0.202  0.500  0.702
Pm  0.356  0.113  0.756
Pm  0.356  0.600  0.244
Pm  0.644  0.400  0.756
Pm  0.644  0.887  0.244
Pm  0.798  0.500  0.298
Pm  0.819  0.000  0.819
Pm  0.844  0.097  0.253
Pm  0.844  0.591  0.747
Ga  0.001  0.251  0.750
Ga  0.499  0.749  0.750
Ga  0.500  0.000  0.500
Ga  0.501  0.251  0.250
Ga  0.999  0.749  0.250
N  0.000  0.263  0.263
N  0.000  0.737  0.737